[1]
A relaxed Cs2BaTe2 crystal. Source: Alexandria via LeMat-Bulk, functional PBE.

Geometry as POSCAR:
```
Cs2BaTe2
1.0
9.652 0.000 0.000
0.000 9.652 0.000
0.000 0.000 5.500
Cs Ba Te
4 2 4
direct
0.131 0.369 0.000
0.369 0.869 0.000
0.631 0.131 0.000
0.869 0.631 0.000
0.000 0.000 0.500
0.500 0.500 0.500
0.180 0.680 0.500
0.320 0.180 0.500
0.680 0.820 0.500
0.820 0.320 0.500
```

Computed properties:
Calculated density ... 4.27 g/cm³
Uncorrected energy ... -3.07 eV per atom
E_form (uncorrected) ... -1.0843 eV per atom
Energy relative to the lowest polymorph listed for this composition ... 0.00 eV/f.u.
Size of the total moment ... 0.0 μB/f.u.

---

[2]
A relaxed CsBa2UTe6 crystal. Source: Alexandria via LeMat-Bulk, functional PBE.

Geometry as POSCAR:
```
CsBa2UTe6
1.0
8.381 0.000 0.000
0.000 9.392 0.000
-7.069 0.000 11.050
Cs Ba U Te
2 4 2 12
direct
0.000 0.000 0.000
0.000 0.500 0.500
0.187 0.093 0.729
0.187 0.407 0.229
0.813 0.593 0.771
0.813 0.907 0.271
0.500 0.000 0.500
0.500 0.500 0.000
0.164 0.165 0.445
0.164 0.335 0.945
0.267 0.743 0.388
0.267 0.757 0.888
0.465 0.101 0.280
0.465 0.399 0.780
0.535 0.601 0.220
0.535 0.899 0.720
0.733 0.243 0.112
0.733 0.257 0.612
0.836 0.665 0.055
0.836 0.835 0.555
```

Computed properties:
Calculated density ... 5.39 g/cm³
Uncorrected energy ... -4.48 eV per atom
E_form (uncorrected) ... -0.9926 eV per atom
Size of the total moment ... 0.0 μB/f.u.